DFT (PBE-GGA) results for a geometry-optimized InPPtO structure.

Cell: 4.2622 4.2622 9.0028 Å, 90.00 90.00 90.00°
Atoms (fractional coordinates):
In  0.2500  0.7500  0.0000
In  0.7500  0.2500  0.0000
P  0.2500  0.2500  0.1868
P  0.7500  0.7500  0.8132
Pt  0.2500  0.2500  0.4397
Pt  0.7500  0.7500  0.5603
O  0.2500  0.7500  0.5000
O  0.7500  0.2500  0.5000

The total energy comes out at -4.632 eV/atom. Its energy above the most stable polymorph in this dataset is 734 meV/atom.